# 1
The following is a PBE calculation of a relaxed Pr2HoRh crystal, from the Alexandria database.

Calculated values
SG: No. 62
Raw total energy: -0.21344 Ha/atom
D(E_F): 1.12 states/eV/atom

Cell: 6.380 7.299 10.037 Å, 90.00 90.00 90.00°
Atoms (fractional coordinates):
Pr  0.170  0.678  0.066
Pr  0.330  0.178  0.434
Pr  0.830  0.322  0.566
Pr  0.670  0.822  0.934
Pr  0.830  0.322  0.934
Pr  0.670  0.822  0.566
Pr  0.170  0.678  0.434
Pr  0.330  0.178  0.066
Ho  0.654  0.538  0.250
Ho  0.846  0.038  0.250
Ho  0.346  0.462  0.750
Ho  0.154  0.962  0.750
Rh  0.051  0.377  0.250
Rh  0.449  0.877  0.250
Rh  0.949  0.623  0.750
Rh  0.551  0.123  0.750

=====

# 2
The following is a PBE calculation of a relaxed PmTmU crystal, from the Alexandria database.

Calculated values
SG: No. 12
Raw total energy: -0.24245 Ha/atom
D(E_F): 1.97 states/eV/atom

Cell: 3.631 5.837 8.614 Å, 99.32 102.17 90.00°
Atoms (fractional coordinates):
U  0.759  0.151  0.518
U  0.241  0.849  0.482
Tm  0.572  0.803  0.145
Tm  0.428  0.197  0.855
Pm  0.887  0.682  0.775
Pm  0.113  0.318  0.225

=====

# 3
The following is a PBE calculation of a relaxed Mg3ReP crystal, from the Alexandria database.

Calculated values
SG: No. 221
Raw total energy: -0.11982 Ha/atom
D(E_F): 0.70 states/eV/atom

Cell: 5.048 5.048 5.048 Å, 90.00 90.00 90.00°
Atoms (fractional coordinates):
Re  0.000  0.000  0.000
Mg  0.000  0.500  0.000
Mg  0.000  0.000  0.500
Mg  0.500  0.000  0.000
P  0.500  0.500  0.500

=====

# 4
The following is a PBE calculation of a relaxed Ga2FeAu2 crystal, from the Alexandria database.

Calculated values
SG: No. 139
Raw total energy: -0.14731 Ha/atom
D(E_F): 0.91 states/eV/atom

Cell: 3.678 3.678 6.964 Å, 74.69 74.69 90.00°
Atoms (fractional coordinates):
Au  0.397  0.397  0.205
Au  0.603  0.603  0.795
Fe  0.000  0.000  0.000
Ga  0.750  0.250  0.500
Ga  0.250  0.750  0.500

=====

# 5
The following is a PBE calculation of a relaxed AcCuPb crystal, from the Alexandria database.

Calculated values
SG: No. 107
Raw total energy: -0.14955 Ha/atom
D(E_F): 0.73 states/eV/atom

Cell: 3.667 3.667 6.668 Å, 105.96 105.96 90.00°
Atoms (fractional coordinates):
Pb  0.305  0.305  0.609
Ac  0.019  0.019  0.038
Cu  0.676  0.676  0.353

=====

# 6
The following is a PBE calculation of a relaxed Tb2LuCo crystal, from the Alexandria database.

Calculated values
SG: No. 166
Raw total energy: -0.18480 Ha/atom
D(E_F): 1.33 states/eV/atom

Cell: 3.544 3.544 10.439 Å, 80.23 80.23 60.00°
Atoms (fractional coordinates):
Co  0.500  0.500  0.500
Lu  0.000  0.000  0.000
Tb  0.112  0.112  0.665
Tb  0.888  0.888  0.335